1.
Entry from the Alexandria database: crystalline CaSi2Rh at its relaxed geometry (PBE).

Values from the calculation:
As for the crystal system: orthorhombic. The value obtained for the electronic total energy is -21.353 eV for the cell shown. The total magnetization comes out at 0.00 μB per formula unit.

Cell lengths 5.5038, 5.5038, 5.5038 Å; angles 148.50, 123.20, 66.41 degrees
Last column: nearest neighbours and their distance in Å.
Fractional coordinates of all 4 atoms:
Ca (0.7500, 0.2500, 0.5000)  2 Ca 2.99, 4 Rh 3.01, 8 Si 3.05-3.26
Rh (0.2500, 0.7500, 0.5000)  4 Si 2.45
Si (0.0392, 0.0392, 0.0000)  2 Rh 2.45
Si (0.4608, 0.4608, 0.0000)  2 Rh 2.45


2.
Entry from the Alexandria database: crystalline AgSb at its relaxed geometry (PBE).

Values from the calculation:
As for the crystal system: monoclinic. The total magnetization comes out at 0.00 μB per formula unit. The energy relative to the lowest polymorph listed for this composition comes out at 0 meV per atom.

Cell lengths 4.1725, 3.0719, 7.4629 Å; angles 77.28, 90.00, 90.00 degrees
Last column: nearest neighbours and their distance in Å.
Fractional coordinates of all 4 atoms:
Sb (0.0000, 0.2861, 0.5542)  5 Ag 3.02-3.09, 4 Sb 3.07-3.34
Sb (0.5000, 0.4640, 0.1958)  5 Ag 3.02-3.09, 4 Sb 3.07-3.34
Ag (0.0000, 0.0708, 0.9780)  6 Ag 2.99-3.07, 5 Sb 3.02-3.09
Ag (0.5000, 0.6792, 0.7720)  6 Ag 2.99-3.07, 5 Sb 3.02-3.09